# PmS2Cl4, relaxed, DFT PBE-GGA
data_PmS2Cl4
_chemical_formula_sum 'Pm1 S2 Cl4'
_cell_length_a 4.1712
_cell_length_b 7.4642
_cell_length_c 8.8599
_cell_angle_alpha 98.96
_cell_angle_beta 99.18
_cell_angle_gamma 99.13
_space_group_name_H-M_alt 'P -1'
_space_group_IT_number 2
loop_
_space_group_symop_operation_xyz
'x,y,z'
'-x,-y,-z'
loop_
_atom_site_label
_atom_site_fract_x
_atom_site_fract_y
_atom_site_fract_z
Pm1 0.0000 0.0000 0.0000
S1 0.4512 0.5906 0.5736
Cl1 0.1245 0.1000 0.3149
Cl2 0.4398 0.7600 0.0181
# **Spin magnetization**: 1.00 μB/f.u.


# Tb5Dy2Y2, relaxed, DFT PBE-GGA
data_Tb5Dy2Y2
_chemical_formula_sum 'Tb20 Dy8 Y8'
_cell_length_a 14.8600
_cell_length_b 11.7526
_cell_length_c 6.7142
_cell_angle_alpha 90.00
_cell_angle_beta 90.00
_cell_angle_gamma 90.00
_space_group_name_H-M_alt 'I m a 2'
_space_group_IT_number 46
loop_
_space_group_symop_operation_xyz
'x,y,z'
'-x,-y,z'
'-x+1/2,y,z'
'x+1/2,-y,z'
'x+1/2,y+1/2,z+1/2'
'-x+1/2,-y+1/2,z+1/2'
'-x,y+1/2,z+1/2'
'x,-y+1/2,z+1/2'
loop_
_atom_site_label
_atom_site_fract_x
_atom_site_fract_y
_atom_site_fract_z
Tb1 0.0514 0.2494 0.0000
Tb2 0.1433 0.7351 0.8203
Tb3 0.2500 0.2483 0.8076
Dy1 0.0000 0.0000 0.1875
Dy2 0.2500 0.5099 0.6045
Y1 0.1267 0.0006 0.6526
# **Spin magnetization**: 0.00 μB/f.u.
# **E_form**: 2.0 eV per formula unit
# **Offset from the most stable computed form**: 0.080 eV per atom


| no. | DFT total energy (eV/atom) |
| --- | --- |
| 1 | -4.10 |
| 2 | -4.81 |